Crystalline Tm2TcRu3 at its relaxed geometry, computed with GGA-PBE.

Properties
DOS at the Fermi energy	6.46	states/eV/f.u.
ΔH_f (0 K)	-33	kJ/mol of atoms
total energy	-98.43	eV per cell

Lattice parameters (Å, degrees): 5.3934 5.3934 8.4163 90.00 90.00 120.00
Element x y z (fractional)
Tm1 0.6667 0.3333 0.4358
Tm2 0.3333 0.6667 0.5642
Tm3 0.3333 0.6667 0.9358
Tm4 0.6667 0.3333 0.0642
Tc1 0.0000 0.0000 0.5000
Tc2 0.0000 0.0000 0.0000
Ru1 0.1727 0.3454 0.2500
Ru2 0.3454 0.1727 0.7500
Ru3 0.8273 0.6546 0.7500
Ru4 0.1727 0.8273 0.2500
Ru5 0.8273 0.1727 0.7500
Ru6 0.6546 0.8273 0.2500